Entry 1:
! NdHo2Er3Te6 (GGA-PBE, optimized geometry); values from VASP
&SYSTEM
  ibrav = 0, nat = 12, ntyp = 4
/
ATOMIC_SPECIES
Nd 144.24 Nd.upf
Ho 164.93 Ho.upf
Er 167.26 Er.upf
Te 127.60 Te.upf
ATOMIC_POSITIONS crystal
Nd 0.0000 0.0000 0.0000
Ho 0.3365 0.3365 0.6729
Ho 0.6635 0.6635 0.3271
Er 0.0000 0.0000 0.5000
Er 0.3389 0.3389 0.1687
Er 0.6611 0.6611 0.8313
Te 0.1679 0.1679 0.5832
Te 0.1728 0.1728 0.0836
Te 0.4991 0.4991 0.7391
Te 0.5009 0.5009 0.2609
Te 0.8272 0.8272 0.9164
Te 0.8321 0.8321 0.4168
CELL_PARAMETERS angstrom
9.5207 -2.1614 0.0000
9.5207 2.1614 0.0000
-2.1000 0.0000 8.5179
! VASP energy = -0.1885 Ha/atom
! energy relative to the elements, uncorrected = -1259 meV/atom
! magnetic moment = 0.000 μB per atom


Entry 2:
! Nd3Ho3ErTe8 (GGA-PBE, optimized geometry); values from VASP
&SYSTEM
  ibrav = 0, nat = 15, ntyp = 4
/
ATOMIC_SPECIES
Nd 144.24 Nd.upf
Ho 164.93 Ho.upf
Er 167.26 Er.upf
Te 127.60 Te.upf
ATOMIC_POSITIONS crystal
Nd 0.0000 0.5000 0.5000
Nd 0.5000 0.0000 0.5000
Nd 0.5000 0.5000 0.0000
Ho 0.0000 0.0000 0.5000
Ho 0.0000 0.5000 0.0000
Ho 0.5000 0.0000 0.0000
Er 0.5000 0.5000 0.5000
Te 0.2403 0.7512 0.7512
Te 0.2457 0.2457 0.2457
Te 0.2488 0.2488 0.7597
Te 0.2488 0.7597 0.2488
Te 0.7512 0.2403 0.7512
Te 0.7512 0.7512 0.2403
Te 0.7543 0.7543 0.7543
Te 0.7597 0.2488 0.2488
CELL_PARAMETERS angstrom
4.3839 2.5310 7.2294
-4.3839 2.5310 7.2294
0.0000 -5.0621 7.2294
! VASP energy = -0.1925 Ha/atom
! energy relative to the elements, uncorrected = -1390 meV/atom
! magnetic moment = 0.000 μB per atom


Entry 3:
! NdHo2ErTe6 (GGA-PBE, optimized geometry); values from VASP
&SYSTEM
  ibrav = 0, nat = 10, ntyp = 4
/
ATOMIC_SPECIES
Nd 144.24 Nd.upf
Ho 164.93 Ho.upf
Er 167.26 Er.upf
Te 127.60 Te.upf
ATOMIC_POSITIONS crystal
Nd 0.0000 0.0000 0.0000
Ho 0.3101 0.3101 0.3101
Ho 0.8124 0.8124 0.8124
Er 0.4969 0.4969 0.4969
Te 0.0889 0.7036 0.4188
Te 0.2181 0.5833 0.9046
Te 0.4188 0.0889 0.7036
Te 0.5833 0.9046 0.2181
Te 0.7036 0.4188 0.0889
Te 0.9046 0.2181 0.5833
CELL_PARAMETERS angstrom
3.8667 2.2325 7.0326
-3.8667 2.2325 7.0326
0.0000 -4.4649 7.0326
! VASP energy = -0.1870 Ha/atom
! energy relative to the elements, uncorrected = -1355 meV/atom
! magnetic moment = 0.000 μB per atom


Entry 4:
! Nd3HoEr2Te6 (GGA-PBE, optimized geometry); values from VASP
&SYSTEM
  ibrav = 0, nat = 12, ntyp = 4
/
ATOMIC_SPECIES
Nd 144.24 Nd.upf
Ho 164.93 Ho.upf
Er 167.26 Er.upf
Te 127.60 Te.upf
ATOMIC_POSITIONS crystal
Nd 0.0000 0.0000 0.0000
Nd 0.3340 0.3340 0.6674
Nd 0.6660 0.6660 0.3326
Ho 0.0000 0.0000 0.5000
Er 0.3337 0.3337 0.1679
Er 0.6663 0.6663 0.8321
Te 0.1639 0.1639 0.5917
Te 0.1703 0.1703 0.0741
Te 0.4964 0.4964 0.2575
Te 0.5036 0.5036 0.7425
Te 0.8298 0.8298 0.9259
Te 0.8361 0.8361 0.4083
CELL_PARAMETERS angstrom
9.6952 -2.1748 0.0000
9.6952 2.1748 0.0000
-2.3683 0.0000 8.6394
! VASP energy = -0.1924 Ha/atom
! energy relative to the elements, uncorrected = -1330 meV/atom
! magnetic moment = 0.000 μB per atom